This record from Alexandria via LeMat-Bulk describes K2YZr at its PBEsol-relaxed geometry. The functional is meta-GGA SCAN.

Cell lengths 5.945, 5.945, 5.945 Å; angles 60.00, 60.00, 60.00 degrees
Element x y z (fractional)
K 0.000 0.000 0.000
K 0.250 0.250 0.250
Y 0.750 0.750 0.750
Zr 0.500 0.500 0.500

The energy relative to the elements comes out at 928 meV per atom. The space group is F-43m (216). For the magnetic moment, the calculation gives 4.93 Bohr magnetons per cell. The energy above the lowest structure with this stoichiometry is 178 meV/atom. The final energy is -71.49 eV per cell.